Entry from Alexandria via LeMat-Bulk: a relaxed structure of CuW2Br (GGA-PBE).

Structure (POSCAR):
```
CuW2Br
1.0
-3.977 5.337 -0.502
-3.620 3.437 4.431
5.710 -2.583 -2.295
W Br Cu
2 1 1
Cartesian
-1.067 3.610 -0.398
-6.893 7.960 3.565
-4.184 4.832 2.164
-1.138 2.948 2.197
```

## Properties
- DOS at the Fermi energy (states/eV/atom) = 0.66
- calculated volume (A^3/atom) = 20.42
- symmetry = Imm2
- formation energy from raw total energies (kJ/mol of formula units) = 342
- excess energy over the best structure of this formula in the dataset (meV/atom) = 358.3
- calculated density (g/cm3) = 10.39

=====

Entry from Alexandria via LeMat-Bulk: a relaxed structure of CrSe8 (GGA-PBE).

Structure (POSCAR):
```
CrSe8
1.0
-5.892 5.892 1.877
5.892 -5.892 1.877
5.892 5.892 -1.877
Se Cr
8 1
Cartesian
9.314 0.000 0.000
2.469 0.000 0.000
-2.012 2.012 1.877
3.880 3.880 0.000
2.012 2.012 1.877
0.000 9.314 0.000
0.000 2.469 0.000
2.012 -2.012 1.877
0.000 0.000 0.000
```

## Properties
- DOS at the Fermi energy (states/eV/atom) = 0.42
- calculated volume (A^3/atom) = 28.95
- symmetry = I4/mmm
- formation energy from raw total energies (kJ/mol of formula units) = 159
- calculated density (g/cm3) = 4.36